(1)
DFT (GGA-PBE) results for a relaxed structure of SbPS4.

```
SbPS4
1.0
3.526 -4.660 0.000
3.526 4.660 0.000
0.000 0.000 10.025
Sb P S
2 2 8
direct
0.234 0.234 0.000
0.766 0.766 0.500
0.235 0.765 0.750
0.765 0.235 0.250
0.122 0.376 0.249
0.330 0.629 0.571
0.371 0.670 0.929
0.376 0.122 0.751
0.624 0.878 0.251
0.629 0.330 0.429
0.670 0.371 0.071
0.878 0.624 0.749
```

Properties
Its formation energy from raw total energies is -177 meV per atom. The space-group type is C222_1. The value obtained for the offset from the most stable computed form is 0.000 eV/atom. The total magnetic moment comes out at 0.0 μB per formula unit.

---

(2)
DFT (GGA-PBE) results for a relaxed structure of VAsSe2N.

```
VAsSe2N
1.0
4.759 0.000 0.000
0.000 4.759 0.000
0.000 0.000 4.833
V As Se N
1 1 2 1
direct
0.000 0.000 0.000
0.000 0.000 0.500
0.000 0.500 0.000
0.500 0.000 0.000
0.500 0.500 0.500
```

Properties
Its formation energy from raw total energies is 1032 meV per atom. The space-group type is P4/mmm. The value obtained for the offset from the most stable computed form is 0.857 eV/atom. The total magnetic moment comes out at 2.3 μB per formula unit.